VASP calculation (GGA-PBE) on a relaxed Na2ScGa crystal.

polymorph energy (0 for the lowest one)	32	meV/atom
magnetic moment	0.0	μB/f.u.

Unit cell a=6.740 b=6.740 c=6.740 alpha=100.47 beta=100.47 gamma=129.54
Fractional coordinates of all 8 atoms:
1 Na 0.084 0.625 0.959
2 Na 0.375 0.334 0.459
3 Na 0.666 0.125 0.041
4 Na 0.875 0.916 0.541
5 Sc 0.250 0.750 0.500
6 Sc 0.500 0.500 0.000
7 Ga 0.000 0.000 0.000
8 Ga 0.750 0.250 0.500



VASP calculation (GGA-PBE) on a relaxed Na2ScGa2 crystal.

polymorph energy (0 for the lowest one)	37	meV/atom
magnetic moment	0.3	μB/f.u.

Unit cell a=8.464 b=8.464 c=3.040 alpha=90.00 beta=90.00 gamma=90.00
Fractional coordinates of all 10 atoms:
1 Na 0.116 0.384 0.000
2 Na 0.384 0.884 0.000
3 Na 0.616 0.116 0.000
4 Na 0.884 0.616 0.000
5 Sc 0.000 0.000 0.000
6 Sc 0.500 0.500 0.000
7 Ga 0.185 0.685 0.500
8 Ga 0.315 0.185 0.500
9 Ga 0.685 0.815 0.500
10 Ga 0.815 0.315 0.500